Entry from the Open Quantum Materials Database: a relaxed structure of NbTlPd2 (PBE).

Cell: 4.6263 4.6263 4.6263 Å, 60.00 60.00 60.00°
Sites, in units of the cell vectors:
Nb1 0.0000 0.0000 0.0000
Tl1 0.7500 0.7500 0.7500
Pd1 0.2500 0.2500 0.2500
Pd2 0.5000 0.5000 0.5000

DFT total energy: -5.6972 eV/atom
magnetic moment: 0.002 μB per atom